Record 1
This record from the Alexandria database describes a relaxed structure of Li2NbCuI. The functional is PBE-GGA.

Calculated values
Calculated volume (Å³ per atom): 32.903
Offset from the most stable computed form (meV per atom): 625
Total DFT energy (no corrections) (eV/atom): -2.807
D(E_F) (states/eV per cell): 5.0
Energy relative to the elements, uncorrected (eV/atom): 1.10

Structure (CIF):
```
data_Li2NbCuI
_cell_length_a 5.587
_cell_length_b 5.587
_cell_length_c 5.270
_cell_angle_alpha 90.00
_cell_angle_beta 90.00
_cell_angle_gamma 90.00
_space_group_name_H-M_alt 'P 4/m m m'
_space_group_IT_number 123
_space_group_name_Hall '-P 4 2'
loop_
_atom_site_label
_atom_site_fract_x
_atom_site_fract_y
_atom_site_fract_z
Li1 0.000 0.500 0.000
Nb1 0.000 0.000 0.000
Cu1 0.500 0.500 0.500
I1 0.000 0.000 0.500
```

---

Record 2
This record from the Alexandria database describes a relaxed structure of B3RhO. The functional is PBE-GGA.

Calculated values
Calculated volume (Å³ per atom): 8.329
Offset from the most stable computed form (meV per atom): 0
Total DFT energy (no corrections) (eV/atom): -5.303
D(E_F) (states/eV per cell): 1.9
Energy relative to the elements, uncorrected (eV/atom): 1.17

Structure (CIF):
```
data_B3RhO
_cell_length_a 3.466
_cell_length_b 3.466
_cell_length_c 3.466
_cell_angle_alpha 90.00
_cell_angle_beta 90.00
_cell_angle_gamma 90.00
_space_group_name_H-M_alt 'P m -3 m'
_space_group_IT_number 221
_space_group_name_Hall '-P 4 2 3'
loop_
_atom_site_label
_atom_site_fract_x
_atom_site_fract_y
_atom_site_fract_z
B1 0.000 0.000 0.500
Rh1 0.500 0.500 0.500
O1 0.000 0.000 0.000
```

---

Record 3
This record from the Alexandria database describes a relaxed structure of Cs2KSr2. The functional is PBE-GGA.

Calculated values
Calculated volume (Å³ per atom): 83.949
Offset from the most stable computed form (meV per atom): 106
Total DFT energy (no corrections) (eV/atom): -0.914
D(E_F) (states/eV per cell): 13.4
DFT formation energy (eV/atom): 0.319

Structure (CIF):
```
data_Cs2KSr2
_cell_length_a 6.045
_cell_length_b 6.045
_cell_length_c 22.972
_cell_angle_alpha 90.00
_cell_angle_beta 90.00
_cell_angle_gamma 90.00
_space_group_name_H-M_alt 'I 4/m m m'
_space_group_IT_number 139
_space_group_name_Hall '-I 4 2'
loop_
_atom_site_label
_atom_site_fract_x
_atom_site_fract_y
_atom_site_fract_z
Cs1 0.000 0.500 0.250
K1 0.000 0.000 0.000
Sr1 0.000 0.000 0.411
```

---

Record 4
This record from the Alexandria database describes a relaxed structure of InRhNF2. The functional is PBE-GGA.

Calculated values
Calculated volume (Å³ per atom): 15.206
Offset from the most stable computed form (meV per atom): 0
Total DFT energy (no corrections) (eV/atom): -5.031
D(E_F) (states/eV per cell): 2.6
Energy relative to the elements, uncorrected (eV/atom): -0.60

Structure (CIF):
```
data_InRhNF2
_cell_length_a 4.542
_cell_length_b 4.542
_cell_length_c 3.686
_cell_angle_alpha 90.00
_cell_angle_beta 90.00
_cell_angle_gamma 90.00
_space_group_name_H-M_alt 'P 4/m m m'
_space_group_IT_number 123
_space_group_name_Hall '-P 4 2'
loop_
_atom_site_label
_atom_site_fract_x
_atom_site_fract_y
_atom_site_fract_z
In1 0.000 0.000 0.000
Rh1 0.500 0.500 0.500
N1 0.500 0.500 0.000
F1 0.000 0.500 0.500
```

---

Record 5
This record from the Alexandria database describes a relaxed structure of CuNiRu. The functional is PBE-GGA.

Calculated values
Calculated volume (Å³ per atom): 12.643
Offset from the most stable computed form (meV per atom): 159
Total DFT energy (no corrections) (eV/atom): -6.093
D(E_F) (states/eV per cell): 18.4
DFT formation energy (eV/atom): 0.291

Structure (CIF):
```
data_CuNiRu
_cell_length_a 2.762
_cell_length_b 4.276
_cell_length_c 12.846
_cell_angle_alpha 90.00
_cell_angle_beta 90.00
_cell_angle_gamma 90.00
_space_group_name_H-M_alt 'F m m 2'
_space_group_IT_number 42
_space_group_name_Hall 'F 2 -2'
loop_
_atom_site_label
_atom_site_fract_x
_atom_site_fract_y
_atom_site_fract_z
Cu1 0.000 0.000 0.000
Ni1 0.000 0.000 0.660
Ru1 0.000 0.000 0.324
```

---

Record 6
This record from the Alexandria database describes a relaxed structure of La2NdEr3Te6. The functional is PBE-GGA.

Calculated values
Calculated volume (Å³ per atom): 30.870
Total DFT energy (no corrections) (eV/atom): -5.314
D(E_F) (states/eV per cell): 12.6
Energy relative to the elements, uncorrected (eV/atom): -1.38

Structure (CIF):
```
data_La2NdEr3Te6
_cell_length_a 19.504
_cell_length_b 4.379
_cell_length_c 8.999
_cell_angle_alpha 90.00
_cell_angle_beta 105.43
_cell_angle_gamma 90.00
_space_group_name_H-M_alt 'C 1 2/m 1'
_space_group_IT_number 12
loop_
_space_group_symop_operation_xyz
'x,y,z'
'-x,-y,-z'
'-x,y,-z'
'x,-y,z'
'x+1/2,y+1/2,z'
'-x+1/2,-y+1/2,-z'
'-x+1/2,y+1/2,-z'
'x+1/2,-y+1/2,z'
loop_
_atom_site_label
_atom_site_fract_x
_atom_site_fract_y
_atom_site_fract_z
La1 0.165 0.000 0.330
Nd1 0.000 0.500 0.000
Er1 0.000 0.500 0.500
Er2 0.167 0.000 0.832
Te1 0.005 0.000 0.742
Te2 0.163 0.500 0.593
Te3 0.170 0.500 0.069
```

---

Record 7
This record from the Alexandria database describes a relaxed structure of Pm2InRu. The functional is PBE-GGA.

Calculated values
Calculated volume (Å³ per atom): 24.788
Offset from the most stable computed form (meV per atom): 104
Total DFT energy (no corrections) (eV/atom): -5.612
D(E_F) (states/eV per cell): 10.4
DFT formation energy (eV/atom): -0.233

Structure (CIF):
```
data_Pm2InRu
_cell_length_a 7.347
_cell_length_b 7.347
_cell_length_c 7.347
_cell_angle_alpha 90.00
_cell_angle_beta 90.00
_cell_angle_gamma 90.00
_space_group_name_H-M_alt 'F m -3 m'
_space_group_IT_number 225
_space_group_name_Hall '-F 4 2 3'
loop_
_atom_site_label
_atom_site_fract_x
_atom_site_fract_y
_atom_site_fract_z
Pm1 0.250 0.250 0.250
In1 0.000 0.000 0.000
Ru1 0.000 0.000 0.500
```

---

Record 8
This record from the Alexandria database describes a relaxed structure of LaMg6. The functional is PBE-GGA.

Calculated values
Calculated volume (Å³ per atom): 25.535
Offset from the most stable computed form (meV per atom): 0
Total DFT energy (no corrections) (eV/atom): -2.125
D(E_F) (states/eV per cell): 20.7
DFT formation energy (eV/atom): -0.054

Structure (CIF):
```
data_LaMg6
_cell_length_a 9.748
_cell_length_b 5.937
_cell_length_c 12.354
_cell_angle_alpha 90.00
_cell_angle_beta 90.00
_cell_angle_gamma 90.00
_space_group_name_H-M_alt 'P n m a'
_space_group_IT_number 62
loop_
_space_group_symop_operation_xyz
'x,y,z'
'-x,-y,-z'
'-x+1/2,-y,z+1/2'
'x+1/2,y,-z+1/2'
'x+1/2,-y+1/2,-z+1/2'
'-x+1/2,y+1/2,z+1/2'
'-x,y+1/2,-z'
'x,-y+1/2,z'
loop_
_atom_site_label
_atom_site_fract_x
_atom_site_fract_y
_atom_site_fract_z
La1 0.244 0.250 0.061
Mg1 0.054 0.750 0.087
Mg2 0.064 0.009 0.307
Mg3 0.090 0.250 0.519
Mg4 0.143 0.750 0.852
Mg5 0.192 0.250 0.751
```